No. 1
VASP calculation (PBE) on a relaxed LiTlRe2 crystal.

Geometry as POSCAR:
```
LiTlRe2
1.0
6.3405 0.0000 0.0000
0.0000 6.3405 0.0000
0.0000 0.0000 6.3405
Li Tl Re
4 4 8
Direct
0.0000 0.0000 0.0000
0.0000 0.5000 0.5000
0.5000 0.0000 0.5000
0.5000 0.5000 0.0000
0.0000 0.0000 0.5000
0.0000 0.5000 0.0000
0.5000 0.0000 0.0000
0.5000 0.5000 0.5000
0.2500 0.2500 0.2500
0.2500 0.2500 0.7500
0.2500 0.7500 0.2500
0.2500 0.7500 0.7500
0.7500 0.2500 0.2500
0.7500 0.2500 0.7500
0.7500 0.7500 0.2500
0.7500 0.7500 0.7500
```

formation energy from the elements	1224	meV/atom
total moment	0.0	μB per formula unit
V	254.9	Å³ per cell

No. 2
VASP calculation (PBE) on a relaxed Tl2InRhI crystal.

Geometry as POSCAR:
```
Tl2InRhI
1.0
5.3924 0.0000 0.0000
0.0000 5.3924 0.0000
0.0000 0.0000 5.2710
Tl In Rh I
2 1 1 1
Direct
0.0000 0.5000 0.0000
0.5000 0.0000 0.0000
0.0000 0.0000 0.5000
0.0000 0.0000 0.0000
0.5000 0.5000 0.5000
```

total moment	0.0	μB per formula unit
V	153.3	Å³ per cell

No. 3
VASP calculation (PBE) on a relaxed MgCSe2 crystal.

Geometry as POSCAR:
```
MgCSe2
1.0
4.1262 0.0000 0.0000
-2.0631 3.5734 0.0000
0.0000 0.0000 19.3540
Mg C Se
3 3 6
Direct
0.0000 0.0000 0.0000
0.3333 0.6667 0.6667
0.6667 0.3333 0.3333
0.0000 0.0000 0.5000
0.3333 0.6667 0.1667
0.6667 0.3333 0.8333
0.0000 0.0000 0.4086
0.0000 0.0000 0.5914
0.3333 0.6667 0.0752
0.3333 0.6667 0.2581
0.6667 0.3333 0.7419
0.6667 0.3333 0.9248
```

total moment	0.0	μB per formula unit
V	285.4	Å³ per cell

Number 1: D(E_F) 22.35 states/eV/cell, calculated total energy -97.1 eV for the cell shown. Number 2: D(E_F) 0.70 states/eV/cell, calculated total energy -17.9 eV for the cell shown. Number 3: D(E_F) 6.51 states/eV/cell, calculated total energy -47.0 eV for the cell shown.